[1]
CaSnNO2 | PBE | relaxed

Cell: 4.6088 3.8437 4.6088 Å, 90.00 90.00 90.00°
Last column: nearest neighbours and their distance in Å.
Element x y z (fractional)
Ca 0.5000 0.5000 0.5000  8 O 3.00, 4 Sn 3.26
Sn 0.0000 0.5000 0.0000  2 N 1.92
O 0.0000 0.0000 0.5000  2 N 2.30
O 0.5000 0.0000 0.0000  2 N 2.30
N 0.0000 0.0000 0.0000  2 Sn 1.92

Calculated values
The spin magnetization comes out at 0.00 Bohr magnetons per cell. As for the raw total energy: -4.582 eV/atom. As for the volume: 82 Å³ per cell. The crystal system is tetragonal. The uncorrected formation energy is 0.268 eV per atom.

[2]
ZrTe | PBE | relaxed

Cell: 3.7596 3.7596 7.9125 Å, 90.00 90.00 120.00°
Last column: nearest neighbours and their distance in Å.
Element x y z (fractional)
Te 0.3333 0.6667 0.2500  6 Zr 2.94
Te 0.6667 0.3333 0.7500  6 Zr 2.94
Zr 0.0000 0.0000 0.0000  6 Te 2.94
Zr 0.0000 0.0000 0.5000  6 Te 2.94

Calculated values
The spin magnetization comes out at 0.00 Bohr magnetons per cell. As for the raw total energy: -6.688 eV/atom. As for the volume: 97 Å³ per cell. The crystal system is hexagonal. The uncorrected formation energy is -0.843 eV per atom.

[3]
Mn2TlRu | PBE | relaxed

Cell: 4.4997 4.4997 4.4997 Å, 60.00 60.00 60.00°
Last column: nearest neighbours and their distance in Å.
Element x y z (fractional)
Mn 0.0000 0.0000 0.0000  4 Mn 2.76, 4 Tl 2.76
Mn 0.2500 0.2500 0.2500  4 Ru 2.76, 4 Mn 2.76
Ru 0.5000 0.5000 0.5000  4 Tl 2.76, 4 Mn 2.76
Tl 0.7500 0.7500 0.7500  4 Ru 2.76, 4 Mn 2.76

Calculated values
The spin magnetization comes out at 7.13 Bohr magnetons per cell. For the energy relative to the lowest polymorph listed for this composition, the calculation gives 10.38 kJ/mol of atoms. As for the raw total energy: -7.044 eV/atom. As for the volume: 64 Å³ per cell. The crystal system is cubic. As for the formation energy: 451 meV/atom.

[4]
TbTm8In6 | PBE | relaxed

Cell: 8.9357 8.9357 8.2510 Å, 57.21 57.21 60.00°
Last column: nearest neighbours and their distance in Å.
Element x y z (fractional)
Tb 0.0000 0.0000 0.0000  6 In 3.22
Tm 0.5532 0.2210 0.3386  5 In 3.08-3.35
Tm 0.7790 0.1127 0.6614  5 In 3.08-3.35
Tm 0.1127 0.4468 0.6614  5 In 3.08-3.35
Tm 0.6667 0.6667 0.9999  6 In 3.19
Tm 0.3333 0.3333 0.0001  6 In 3.19
Tm 0.8873 0.5532 0.3386  5 In 3.08-3.35
Tm 0.2210 0.8873 0.3386  5 In 3.08-3.35
Tm 0.4468 0.7790 0.6614  5 In 3.08-3.35
In 0.3960 0.0609 0.8176  7 Tm 3.08-3.35, 1 Tb 3.22
In 0.9391 0.2746 0.1824  7 Tm 3.08-3.35, 1 Tb 3.22
In 0.2746 0.6040 0.1824  7 Tm 3.08-3.35, 1 Tb 3.22
In 0.7254 0.3960 0.8176  7 Tm 3.08-3.35, 1 Tb 3.22
In 0.0609 0.7254 0.8176  7 Tm 3.08-3.35, 1 Tb 3.22
In 0.6040 0.9391 0.1824  7 Tm 3.08-3.35, 1 Tb 3.22

Calculated values
The spin magnetization comes out at 0.00 Bohr magnetons per cell. As for the raw total energy: -3.977 eV/atom. As for the volume: 445 Å³ per cell. The crystal system is trigonal. As for the formation energy: -188 meV/atom.

[5]
CaTmZn17 | PBE | relaxed

Cell: 6.8012 6.8012 6.8012 Å, 82.85 82.85 82.85°
Last column: nearest neighbours and their distance in Å.
Element x y z (fractional)
Ca 0.3368 0.3368 0.3368  19 Zn 3.13-3.42
Tm 0.6651 0.6651 0.6651  16 Zn 3.07-3.42
Zn 0.2985 0.9994 0.7027  8 Zn 2.58-2.76
Zn 0.7027 0.2985 0.9994  8 Zn 2.58-2.76
Zn 0.9994 0.7027 0.2985  8 Zn 2.58-2.76
Zn 0.2985 0.7027 0.9994  8 Zn 2.58-2.76
Zn 0.9994 0.2985 0.7027  8 Zn 2.58-2.76
Zn 0.7027 0.9994 0.2985  8 Zn 2.58-2.76
Zn 0.3542 0.8347 0.3542  8 Zn 2.55-2.76
Zn 0.3542 0.3542 0.8347  8 Zn 2.55-2.76
Zn 0.8347 0.3542 0.3542  8 Zn 2.55-2.76
Zn 0.6490 0.1587 0.6490  9 Zn 2.55-2.85
Zn 0.6490 0.6490 0.1587  9 Zn 2.55-2.85
Zn 0.1587 0.6490 0.6490  9 Zn 2.55-2.85
Zn 0.0007 0.4989 0.0007  10 Zn 2.58-2.74
Zn 0.0007 0.0007 0.4989  10 Zn 2.58-2.74
Zn 0.4989 0.0007 0.0007  10 Zn 2.58-2.74
Zn 0.8982 0.8982 0.8982  7 Zn 2.64-2.85
Zn 0.0990 0.0990 0.0990  7 Zn 2.64-2.91

Calculated values
The spin magnetization comes out at 0.00 Bohr magnetons per cell. As for the raw total energy: -1.674 eV/atom. As for the volume: 308 Å³ per cell. The crystal system is trigonal. As for the formation energy: -193 meV/atom.

[6]
TmSc2PaCo2 | PBE | relaxed

Cell: 6.6007 6.6841 7.6266 Å, 115.99 115.64 90.00°
Last column: nearest neighbours and their distance in Å.
Element x y z (fractional)
Tm 0.2500 0.0000 0.0000  4 Co 2.82
Tm 0.7500 0.0000 0.0000  4 Co 2.82
Sc 0.7043 0.8921 0.4086  1 Co 2.48
Sc 0.2043 0.5165 0.4086  1 Co 2.48
Sc 0.7957 0.4835 0.5914  1 Co 2.48
Sc 0.2957 0.1079 0.5914  1 Co 2.48
Pa 0.7500 0.5000 0.0000  4 Co 2.45
Pa 0.2500 0.5000 0.0000  4 Co 2.45
Co 0.4022 0.6083 0.8045  2 Pa 2.45, 1 Sc 2.48
Co 0.5978 0.3917 0.1955  2 Pa 2.45, 1 Sc 2.48
Co 0.0978 0.8039 0.1955  2 Pa 2.45, 1 Sc 2.48
Co 0.9022 0.1961 0.8045  2 Pa 2.45, 1 Sc 2.48

Calculated values
The spin magnetization comes out at 0.00 Bohr magnetons per cell. As for the raw total energy: -6.940 eV/atom. As for the volume: 265 Å³ per cell. The crystal system is orthorhombic. As for the formation energy: -133 meV/atom.

[7]
AcY2IrN4 | PBE | relaxed

Cell: 3.4938 6.2888 11.7352 Å, 90.00 90.00 106.13°
Last column: nearest neighbours and their distance in Å.
Element x y z (fractional)
Ac 0.1068 0.2137 0.7500  6 N 2.68-2.75
Ac 0.8932 0.7863 0.2500  6 N 2.68-2.75
Y 0.3697 0.7394 0.5444  6 N 2.31-2.58
Y 0.6303 0.2606 0.0444  6 N 2.31-2.58
Y 0.6303 0.2606 0.4556  6 N 2.31-2.58
Y 0.3697 0.7394 0.9556  6 N 2.31-2.58
Ir 0.8463 0.6926 0.7500  4 N 2.04-2.07
Ir 0.1537 0.3074 0.2500  4 N 2.04-2.07
N 0.2682 0.5364 0.1227  1 Ir 2.04
N 0.7318 0.4636 0.6227  1 Ir 2.04
N 0.7318 0.4636 0.8773  1 Ir 2.04
N 0.2682 0.5364 0.3773  1 Ir 2.04
N 0.0000 0.0000 0.5000  4 Y 2.41
N 0.0000 0.0000 0.0000  4 Y 2.41
N 0.4382 0.8764 0.7500  2 Ir 2.07
N 0.5618 0.1236 0.2500  2 Ir 2.07

Calculated values
The spin magnetization comes out at 0.00 Bohr magnetons per cell. As for the raw total energy: -8.294 eV/atom. As for the volume: 248 Å³ per cell. The crystal system is orthorhombic. The uncorrected formation energy is -0.894 eV per atom.

[8]
CaRuCl3 | PBE | relaxed

Cell: 5.2960 5.2960 5.2960 Å, 90.00 90.00 90.00°
Last column: nearest neighbours and their distance in Å.
Element x y z (fractional)
Ru 0.5000 0.5000 0.5000  12 Cl 3.74
Ca 0.0000 0.0000 0.0000  6 Cl 2.65
Cl 0.0000 0.5000 0.0000  2 Ca 2.65
Cl 0.0000 0.0000 0.5000  2 Ca 2.65
Cl 0.5000 0.0000 0.0000  2 Ca 2.65

Calculated values
The spin magnetization comes out at 3.00 Bohr magnetons per cell. For the energy relative to the lowest polymorph listed for this composition, the calculation gives 18.69 kJ/mol of atoms. As for the raw total energy: -3.891 eV/atom. As for the volume: 149 Å³ per cell. The crystal system is cubic. The uncorrected formation energy is -0.528 eV per atom.

[9]
YBeSb2 | PBE | relaxed

Cell: 6.0143 6.0143 6.0143 Å, 140.33 137.60 59.46°
Last column: nearest neighbours and their distance in Å.
Element x y z (fractional)
Y 0.4996 0.4996 0.0000  6 Sb 2.99-3.32, 2 Be 3.22
Sb 0.0140 0.0140 0.0000  4 Y 2.99, 2 Be 3.02
Sb 0.7591 0.2591 0.5000  4 Be 3.00, 2 Y 3.32, 4 Sb 3.36
Be 0.2273 0.7273 0.5000  6 Sb 3.00-3.02, 2 Y 3.22

Calculated values
The spin magnetization comes out at 0.00 Bohr magnetons per cell. As for the raw total energy: -4.743 eV/atom. As for the volume: 93 Å³ per cell. The crystal system is orthorhombic. The uncorrected formation energy is -0.134 eV per atom.

[10]
La3TbPrNd | PBE | relaxed

Cell: 5.9301 10.9520 6.9023 Å, 90.66 90.00 105.71°
Last column: nearest neighbours and their distance in Å.
Element x y z (fractional)
La 0.8402 0.6804 0.2440  2 Pr 3.51, 2 Tb 3.54, 4 La 3.59-3.91
La 0.7805 0.5609 0.7291  3 Tb 3.36-3.69, 1 Nd 3.39, 3 Pr 3.49-3.73, 2 La 3.59-3.76
La 0.4833 0.9667 0.2475  1 Tb 3.27, 1 Pr 3.33, 2 Nd 3.36, 2 La 3.50-3.55
La 0.2195 0.4391 0.2709  3 Tb 3.36-3.69, 1 Nd 3.39, 3 Pr 3.49-3.73, 2 La 3.59-3.76
La 0.5167 0.0333 0.7525  1 Tb 3.27, 1 Pr 3.33, 2 Nd 3.36, 2 La 3.50-3.55
La 0.1598 0.3196 0.7560  2 Pr 3.51, 2 Tb 3.54, 4 La 3.59-3.91
Tb 0.6425 0.2850 0.4810  1 Pr 3.14, 2 La 3.27-3.36
Tb 0.3575 0.7150 0.5190  1 Pr 3.14, 2 La 3.27-3.36
Pr 0.3523 0.7046 0.9739  1 Tb 3.14, 4 La 3.33-3.51
Pr 0.6477 0.2954 0.0261  1 Tb 3.14, 4 La 3.33-3.51
Nd 0.0587 0.1173 0.2624  3 La 3.36-3.39, 2 Tb 3.76
Nd 0.9413 0.8827 0.7376  3 La 3.36-3.39, 2 Tb 3.76

Calculated values
The spin magnetization comes out at 0.00 Bohr magnetons per cell. As for the raw total energy: -4.688 eV/atom. As for the volume: 432 Å³ per cell. The crystal system is monoclinic. As for the formation energy: 139 meV/atom.

[11]
ScTl3Ag | PBE | relaxed

Cell: 5.6316 5.6316 5.6316 Å, 90.00 90.00 90.00°
Last column: nearest neighbours and their distance in Å.
Element x y z (fractional)
Sc 0.0000 0.0000 0.0000  6 Tl 2.82
Tl 0.0000 0.5000 0.0000  2 Sc 2.82
Tl 0.0000 0.0000 0.5000  2 Sc 2.82
Tl 0.5000 0.0000 0.0000  2 Sc 2.82
Ag 0.5000 0.5000 0.5000  12 Tl 3.98

Calculated values
The spin magnetization comes out at 0.74 Bohr magnetons per cell. For the energy relative to the lowest polymorph listed for this composition, the calculation gives 10.96 kJ/mol of atoms. As for the raw total energy: -2.677 eV/atom. As for the volume: 179 Å³ per cell. The crystal system is cubic. As for the formation energy: 580 meV/atom.

[12]
YbInRh2 | PBE | relaxed

Cell: 4.6202 4.6208 4.6208 Å, 59.99 60.00 60.00°
Last column: nearest neighbours and their distance in Å.
Element x y z (fractional)
Yb 0.7500 0.7500 0.7500  8 Rh 2.83
Rh 0.0000 0.0000 0.0000  4 In 2.83, 4 Yb 2.83
Rh 0.5000 0.5000 0.5000  4 In 2.83, 4 Yb 2.83
In 0.2500 0.2500 0.2500  8 Rh 2.83

Calculated values
The spin magnetization comes out at 0.00 Bohr magnetons per cell. As for the raw total energy: -5.378 eV/atom. As for the volume: 70 Å³ per cell. The crystal system is cubic. As for the formation energy: -636 meV/atom.

[13]
SrSi | PBE | relaxed

Cell: 6.5519 6.5519 6.5519 Å, 145.52 136.37 56.76°
Last column: nearest neighbours and their distance in Å.
Element x y z (fractional)
Si 0.4345 0.6845 0.2500  2 Si 2.46
Si 0.5655 0.3155 0.7500  2 Si 2.46
Sr 0.8645 0.1145 0.2500  6 Si 3.22-3.36, 2 Sr 3.59
Sr 0.1355 0.8855 0.7500  6 Si 3.22-3.36, 2 Sr 3.59

Calculated values
The spin magnetization comes out at 0.00 Bohr magnetons per cell. As for the raw total energy: -3.894 eV/atom. As for the volume: 109 Å³ per cell. The crystal system is orthorhombic. The uncorrected formation energy is -0.341 eV per atom.